No. 1
# BaGa2NiPb

A geometry-optimized BaGa2NiPb structure (PBE, Alexandria via LeMat-Bulk).

Output
- Crystal system: tetragonal

Lattice parameters (Å, degrees): 4.8574 4.8574 5.3146 90.00 90.00 90.00
Element x y z (fractional)
Pb 0.0000 0.0000 0.5000
Ni 0.0000 0.0000 0.0000
Ba 0.5000 0.5000 0.5000
Ga 0.0000 0.5000 0.0000
Ga 0.5000 0.0000 0.0000

No. 2
# Ba2Ga6NiPd

A geometry-optimized Ba2Ga6NiPd structure (PBE, Alexandria via LeMat-Bulk).

Output
- Crystal system: monoclinic

Lattice parameters (Å, degrees): 6.8954 6.8959 6.9211 60.01 60.01 90.21
Element x y z (fractional)
Ba 0.7503 0.2499 0.4997
Ba 0.2497 0.7501 0.5003
Ga 0.2417 0.2417 0.5167
Ga 0.7582 0.7584 0.0000
Ga 0.2419 0.7585 0.0000
Ga 0.7581 0.2415 0.0000
Ga 0.2418 0.2416 0.0000
Ga 0.7583 0.7583 0.4833
Ni 0.0000 0.0000 0.0000
Pd 0.5000 0.5000 0.0000

Looking at electronic total energy for the records above, in order, we have -3.6942, -3.6487 eV per atom.